DFT (PBE-GGA) results for a geometry-optimized PuAl structure.

DFT total energy = -8.63 eV/atom

Lattice parameters (Å, degrees): 4.6094 4.6094 5.6893 90.00 90.00 120.00
Space group P6_3/mmc (No. 194)
Symmetry-distinct sites (fractional):
Pu 0.0000 0.0000 0.0000 (multiplicity 2)
Al 0.3333 0.6667 0.2500 (multiplicity 2)